No. 1
{
  "formula": "NbAlMo2C",
  "functional": "PBE",
  "state": "relaxed",
  "formation_energy_ev_per_atom": 2.68,
  "m_tot_mub_per_cell": 0.003,
  "dft_energy_ev_per_atom": -6.259,
  "lattice": [[-1.2051, -4.2428, 0.7265], [1.5936, -1.1915, -4.3151], [4.0351, -0.8507, 1.7250]],
  "species": ["Mo", "Nb", "Mo", "C", "Al"],
  "frac_coords": [[0.0000, 0.0000, 0.5000], [0.0000, 0.5000, 0.0000], [0.5000, 0.0000, 0.0000], [0.5000, 0.5000, 0.5000], [0.0000, 0.0000, 0.0000]]
}

---

No. 2
{
  "formula": "Nd2Y6ErTm2",
  "functional": "PBE",
  "state": "relaxed",
  "formation_energy_ev_per_atom": 0.15,
  "m_tot_mub_per_cell": 0.002,
  "dft_energy_ev_per_atom": -5.475,
  "lattice": [[6.5995, -0.6235, -0.4869], [-3.8039, 5.4289, -0.4869], [-1.8602, -3.1974, 11.4932]],
  "species": ["Y", "Y", "Tm", "Y", "Tm", "Y", "Er", "Y", "Y", "Nd", "Nd"],
  "frac_coords": [[0.8687, 0.5604, 0.2148], [0.2955, 0.2955, 0.2958], [0.2971, 0.7029, 0.5000], [0.1313, 0.4396, 0.7852], [0.7029, 0.2971, 0.5000], [0.5604, 0.8687, 0.2148], [0.0000, 0.0000, 0.5000], [0.7045, 0.7045, 0.7042], [0.4396, 0.1313, 0.7852], [0.8645, 0.1355, 0.0000], [0.1355, 0.8645, 0.0000]]
}

---

No. 3
{
  "formula": "NaAuF5",
  "functional": "PBE",
  "state": "relaxed",
  "e_form_raw_ev_per_atom": -1.547,
  "e_above_lowest_polymorph_ev_per_atom": 0.0000,
  "m_tot_mub_per_cell": 0.052,
  "dft_energy_ev_per_atom": -3.540,
  "lattice": [[-3.9579, 2.9316, 1.9854], [-3.6604, -3.6214, 1.4963], [-1.3519, 1.1854, 9.8209]],
  "species": ["F", "F", "F", "F", "F", "Au", "F", "F", "Au", "Na", "F", "Na", "F", "F"],
  "frac_coords": [[0.9294, 0.0814, 0.1968], [0.2227, 0.3023, 0.3599], [0.6363, 0.2359, 0.5249], [0.7773, 0.6977, 0.6401], [0.3985, 0.1176, 0.8795], [0.0000, 0.0000, 0.5000], [0.8645, 0.3623, 0.9352], [0.0706, 0.9186, 0.8032], [0.0000, 0.0000, 0.0000], [0.3604, 0.5277, 0.7130], [0.3637, 0.7641, 0.4751], [0.6396, 0.4723, 0.2870], [0.1355, 0.6377, 0.0648], [0.6015, 0.8824, 0.1205]]
}

---

Volume / Å³/cell: 94.9, 362.8, 228.9